Arrangement a

BaPmGe | GGA-PBE | relaxed

Cell and atoms, written as extended XYZ:
```
6
Lattice="5.573 0.000 0.000 0.000 5.220 0.000 0.000 2.610 7.974" Properties=species:S:1:pos:R:3 pbc="T T T"
Ba 4.180 5.220 6.399
Ba 1.393 2.610 1.575
Ge 2.786 0.000 0.000
Ge 0.000 0.000 0.000
Pm 4.180 5.220 2.576
Pm 1.393 2.610 5.398
```

As for the symmetry: Cmcm. The calculated volume is 38.66 A^3/atom. For the magnetization, the calculation gives 0.00 μB per formula unit.


Arrangement b

BaPmGe | GGA-PBE | relaxed

Cell and atoms, written as extended XYZ:
```
3
Lattice="-2.441 -0.959 -4.228 4.367 -0.599 -2.386 -2.226 -3.928 2.176" Properties=species:S:1:pos:R:3 pbc="T T T"
Ge -0.294 -0.115 -0.508
Ba 0.502 -2.363 -3.752
Pm -0.509 -3.007 -0.177
```

As for the symmetry: P3m1. The calculated volume is 36.07 A^3/atom. For the magnetization, the calculation gives 0.00 μB per formula unit.


Arrangement c

BaPmGe | GGA-PBE | relaxed

Cell and atoms, written as extended XYZ:
```
3
Lattice="5.347 0.000 0.000 2.673 4.631 0.000 2.673 1.544 4.366" Properties=species:S:1:pos:R:3 pbc="T T T"
Ge 2.673 1.544 1.091
Ba 5.347 3.087 2.183
Pm 0.000 0.000 0.000
```

As for the symmetry: F-43m. The calculated volume is 36.03 A^3/atom. For the magnetization, the calculation gives 0.21 μB per formula unit.


Most stable = arrangement b


Arrangement a

RbBa3Ge | GGA-PBE | relaxed

Cell and atoms, written as extended XYZ:
```
5
Lattice="-3.489 -4.035 3.582 -2.543 -2.532 -5.329 4.758 -4.312 -0.222" Properties=species:S:1:pos:R:3 pbc="T T T"
Ge -0.637 -5.439 -0.985
Ba -1.272 -1.266 -2.665
Ba 2.379 -2.156 -0.111
Ba -1.744 -2.017 1.791
Rb 0.000 0.000 0.000
```

As for the symmetry: Pm-3m. The calculated volume is 53.04 A^3/atom. For the magnetization, the calculation gives 1.94 μB per formula unit.


Arrangement b

RbBa3Ge | GGA-PBE | relaxed

Cell and atoms, written as extended XYZ:
```
5
Lattice="-4.326 -4.479 2.467 3.901 -0.801 5.385 -3.306 4.915 3.126" Properties=species:S:1:pos:R:3 pbc="T T T"
Ge 0.000 0.000 0.000
Ba 1.950 -0.401 2.693
Ba -1.653 2.458 1.563
Ba -2.163 -2.239 1.234
Rb -1.866 -0.182 5.489
```

As for the symmetry: Pm-3m. The calculated volume is 60.09 A^3/atom. For the magnetization, the calculation gives 0.00 μB per formula unit.


Most stable = arrangement b


Arrangement a

Rb2BaGe | GGA-PBE | relaxed

Cell and atoms, written as extended XYZ:
```
4
Lattice="0.032 2.714 5.555 -4.574 -1.111 4.009 1.086 -3.360 5.076" Properties=species:S:1:pos:R:3 pbc="T T T"
Ge 0.000 0.000 0.000
Ba -1.728 -0.878 7.320
Rb -0.864 -0.439 3.660
Rb -2.592 -1.317 10.980
```

As for the symmetry: Fm-3m. The calculated volume is 41.78 A^3/atom. For the magnetization, the calculation gives 0.00 μB per formula unit.


Arrangement b

Rb2BaGe | GGA-PBE | relaxed

Cell and atoms, written as extended XYZ:
```
8
Lattice="-1.952 -4.102 2.553 -1.813 -1.930 -4.488 10.024 -9.848 -2.840" Properties=species:S:1:pos:R:3 pbc="T T T"
Ge -1.883 -3.016 -0.968
Ge 3.164 -7.397 -4.147
Ba 0.000 0.000 0.000
Ba 3.095 -8.483 -0.627
Rb 1.110 -5.160 0.258
Rb 1.078 -4.288 -3.129
Rb 6.059 -9.698 -2.972
Rb 4.271 -12.614 -3.706
```

As for the symmetry: I-42d. The calculated volume is 47.02 A^3/atom. For the magnetization, the calculation gives 0.00 μB per formula unit.


Most stable = arrangement b


Arrangement a

BaRe3Ge | GGA-PBE | relaxed

Cell and atoms, written as extended XYZ:
```
5
Lattice="-1.976 -4.224 -1.941 2.962 -2.770 3.012 -3.583 0.040 3.561" Properties=species:S:1:pos:R:3 pbc="T T T"
Re 1.481 -1.385 1.506
Re -1.791 0.020 1.781
Re -0.988 -2.112 -0.970
Ge -1.298 -3.477 2.316
Ba 0.000 0.000 0.000
```

As for the symmetry: Pm-3m. The calculated volume is 25.78 A^3/atom. For the magnetization, the calculation gives 3.80 μB per formula unit.


Arrangement b

BaRe3Ge | GGA-PBE | relaxed

Cell and atoms, written as extended XYZ:
```
5
Lattice="-3.073 -1.016 3.536 0.899 -4.675 -0.562 3.568 0.303 3.188" Properties=species:S:1:pos:R:3 pbc="T T T"
Re 0.450 -2.338 -0.281
Re 1.784 0.152 1.594
Re -1.537 -0.508 1.768
Ge 0.000 0.000 0.000
Ba 0.697 -2.694 3.081
```

As for the symmetry: Pm-3m. The calculated volume is 22.03 A^3/atom. For the magnetization, the calculation gives 3.51 μB per formula unit.


Most stable = arrangement b


Arrangement a

BaReGe2 | GGA-PBE | relaxed

Cell and atoms, written as extended XYZ:
```
8
Lattice="5.639 0.000 0.000 0.000 5.639 0.000 2.819 2.819 7.640" Properties=species:S:1:pos:R:3 pbc="T T T"
Re 0.000 0.000 0.000
Re 5.639 2.819 3.820
Ge 5.637 1.410 1.910
Ge 5.640 4.229 1.910
Ge 4.229 2.821 5.730
Ge 7.048 2.818 5.730
Ba 2.819 2.819 0.000
Ba 2.819 5.639 3.820
```

As for the symmetry: I4_1/amd. The calculated volume is 30.36 A^3/atom. For the magnetization, the calculation gives 0.00 μB per formula unit.


Arrangement b

BaReGe2 | GGA-PBE | relaxed

Cell and atoms, written as extended XYZ:
```
4
Lattice="-4.184 -2.606 -0.163 -2.738 -0.527 4.069 -4.351 2.295 0.359" Properties=species:S:1:pos:R:3 pbc="T T T"
Re -5.636 -0.419 2.132
Ge -2.818 -0.210 1.066
Ge -8.454 -0.629 3.198
Ba 0.000 0.000 0.000
```

As for the symmetry: Fm-3m. The calculated volume is 21.21 A^3/atom. For the magnetization, the calculation gives 0.70 μB per formula unit.


Most stable = arrangement a


Arrangement a

BaGe3Rh3 | GGA-PBE | relaxed

Cell and atoms, written as extended XYZ:
```
14
Lattice="4.399 0.000 0.000 0.000 7.849 -4.484 0.000 -0.043 9.046" Properties=species:S:1:pos:R:3 pbc="T T T"
Ba 3.299 2.590 4.537
Ba 1.100 5.217 0.025
Ge 3.299 7.393 -0.984
Ge 3.299 3.253 -1.351
Ge 3.299 5.008 2.413
Ge 1.100 0.414 5.545
Ge 1.100 4.554 5.913
Ge 1.100 2.799 2.148
Rh 3.299 5.574 -2.622
Rh 3.299 2.745 1.045
Rh 3.299 7.336 1.659
Rh 1.100 2.233 7.184
Rh 1.100 5.061 3.516
Rh 1.100 0.471 2.902
```

As for the symmetry: P2_1/m. The calculated volume is 22.25 A^3/atom. For the magnetization, the calculation gives 0.00 μB per formula unit.


Arrangement b

BaGe3Rh3 | GGA-PBE | relaxed

Cell and atoms, written as extended XYZ:
```
14
Lattice="6.819 0.000 0.000 0.000 6.819 0.000 0.000 0.000 6.819" Properties=species:S:1:pos:R:3 pbc="T T T"
Ge 0.000 1.705 3.410
Ge 0.000 5.114 3.410
Ge 3.410 0.000 5.114
Ge 5.114 3.410 0.000
Ge 3.410 0.000 1.705
Ge 1.705 3.410 0.000
Rh 1.705 0.000 3.410
Rh 0.000 3.410 1.705
Rh 3.410 5.114 0.000
Rh 5.114 0.000 3.410
Rh 0.000 3.410 5.114
Rh 3.410 1.705 0.000
Ba 3.410 3.410 3.410
Ba 0.000 0.000 0.000
```

As for the symmetry: Pm-3n. The calculated volume is 22.65 A^3/atom. For the magnetization, the calculation gives 0.00 μB per formula unit.


Most stable = arrangement b